No. 1
# LaCoP2 | Alexandria via LeMat-Bulk | GGA-PBE | optimized geometry
# * DOS(E_F): 0.4 states/eV/f.u.
# * uncorrected energy: -26.52 eV/f.u.
# * formation energy from the elements: -917.5 meV/atom
data_LaCoP2
_symmetry_space_group_name_H-M 'R -3 m'
_symmetry_Int_Tables_number 166
_symmetry_space_group_name_Hall '-R 3 2"'
_cell_length_a 3.7902
_cell_length_b 3.7902
_cell_length_c 16.5259
_cell_angle_alpha 90.00
_cell_angle_beta 90.00
_cell_angle_gamma 120.00
loop_
_atom_site_label
_atom_site_fract_x
_atom_site_fract_y
_atom_site_fract_z
La1 0.0000 0.0000 0.0000
Co1 0.0000 0.0000 0.5000
P1 0.0000 0.0000 0.2166

***

No. 2
# CeY2US8 | Alexandria via LeMat-Bulk | GGA-PBE | optimized geometry
# * uncorrected formation energy: -1568.3 meV/atom
# * uncorrected energy: -81.99 eV/f.u.
data_CeY2US8
_symmetry_space_group_name_H-M 'P 1 2/m 1'
_symmetry_Int_Tables_number 10
_cell_length_a 6.133
_cell_length_b 8.268
_cell_length_c 6.332
_cell_angle_alpha 90.00
_cell_angle_beta 91.06
_cell_angle_gamma 90.00
loop_
_symmetry_equiv_pos_as_xyz
'x,y,z'
'-x,-y,-z'
'-x,y,-z'
'x,-y,z'
loop_
_atom_site_label
_atom_site_fract_x
_atom_site_fract_y
_atom_site_fract_z
Ce1 0.000 0.000 0.000
Y1 0.500 0.249 0.500
U1 0.000 0.500 0.000
S1 0.216 0.267 0.839
S2 0.264 0.500 0.319
S3 0.274 0.000 0.332

***

No. 3
# K2NaICl2 | Alexandria via LeMat-Bulk | GGA-PBE | optimized geometry
# * uncorrected formation energy: -1648.9 meV/atom
# * DOS(E_F): 0.0 states/eV/f.u.
# * uncorrected energy: -18.65 eV/f.u.
data_K2NaICl2
_symmetry_space_group_name_H-M 'P 4/m m m'
_symmetry_Int_Tables_number 123
_symmetry_space_group_name_Hall '-P 4 2'
_cell_length_a 5.238
_cell_length_b 5.238
_cell_length_c 7.733
_cell_angle_alpha 90.00
_cell_angle_beta 90.00
_cell_angle_gamma 90.00
loop_
_atom_site_label
_atom_site_fract_x
_atom_site_fract_y
_atom_site_fract_z
K1 0.000 0.000 0.244
Na1 0.500 0.500 0.000
I1 0.500 0.500 0.500
Cl1 0.000 0.500 0.000

***

No. 4
# AcLa12Er3 | Alexandria via LeMat-Bulk | GGA-PBE | optimized geometry
# * DOS(E_F): 25.0 states/eV/f.u.
# * uncorrected energy: -76.70 eV/f.u.
# * formation energy from the elements: 14.0 meV/atom
data_AcLa12Er3
_symmetry_space_group_name_H-M 'P 4/m m m'
_symmetry_Int_Tables_number 123
_symmetry_space_group_name_Hall '-P 4 2'
_cell_length_a 5.236
_cell_length_b 5.236
_cell_length_c 20.988
_cell_angle_alpha 90.00
_cell_angle_beta 90.00
_cell_angle_gamma 90.00
loop_
_atom_site_label
_atom_site_fract_x
_atom_site_fract_y
_atom_site_fract_z
Ac1 0.000 0.000 0.000
La1 0.000 0.500 0.131
La2 0.000 0.500 0.377
La3 0.500 0.500 0.000
La4 0.500 0.500 0.255
La5 0.500 0.500 0.500
Er1 0.000 0.000 0.255
Er2 0.000 0.000 0.500

***

No. 5
# SmSi4Pt6 | Alexandria via LeMat-Bulk | GGA-PBE | optimized geometry
# * uncorrected formation energy: -741.3 meV/atom
# * DOS(E_F): 4.3 states/eV/f.u.
# * uncorrected energy: -70.81 eV/f.u.
data_SmSi4Pt6
_symmetry_space_group_name_H-M 'I -4 2 m'
_symmetry_Int_Tables_number 121
_symmetry_space_group_name_Hall 'I -4 2'
_cell_length_a 6.728
_cell_length_b 6.728
_cell_length_c 8.564
_cell_angle_alpha 90.00
_cell_angle_beta 90.00
_cell_angle_gamma 90.00
loop_
_atom_site_label
_atom_site_fract_x
_atom_site_fract_y
_atom_site_fract_z
Sm1 0.000 0.000 0.000
Si1 0.204 0.204 0.348
Pt1 0.000 0.500 0.000
Pt2 0.153 0.153 0.634

***

No. 6
# IrIBr3 | Alexandria via LeMat-Bulk | GGA-PBE | optimized geometry
# * uncorrected formation energy: -134.1 meV/atom
# * DOS(E_F): 4.8 states/eV/f.u.
# * uncorrected energy: -16.10 eV/f.u.
data_IrIBr3
_symmetry_space_group_name_H-M 'C 1 c 1'
_symmetry_Int_Tables_number 9
_cell_length_a 8.429
_cell_length_b 15.499
_cell_length_c 6.312
_cell_angle_alpha 90.00
_cell_angle_beta 127.64
_cell_angle_gamma 90.00
loop_
_symmetry_equiv_pos_as_xyz
'x,y,z'
'x,-y,z+1/2'
'x+1/2,y+1/2,z'
'x+1/2,-y+1/2,z+1/2'
loop_
_atom_site_label
_atom_site_fract_x
_atom_site_fract_y
_atom_site_fract_z
Ir1 0.000 0.065 0.000
I1 0.262 0.320 0.474
Br1 0.212 0.054 0.500
Br2 0.223 0.175 0.034
Br3 0.293 0.445 0.000

***

No. 7
# BaGaBi2Rh | Alexandria via LeMat-Bulk | GGA-PBE | optimized geometry
# * DOS(E_F): 5.7 states/eV/f.u.
# * uncorrected energy: -20.33 eV/f.u.
# * formation energy from the elements: -53.9 meV/atom
data_BaGaBi2Rh
_symmetry_space_group_name_H-M 'P 4/m m m'
_symmetry_Int_Tables_number 123
_symmetry_space_group_name_Hall '-P 4 2'
_cell_length_a 5.627
_cell_length_b 5.627
_cell_length_c 4.775
_cell_angle_alpha 90.00
_cell_angle_beta 90.00
_cell_angle_gamma 90.00
loop_
_atom_site_label
_atom_site_fract_x
_atom_site_fract_y
_atom_site_fract_z
Ba1 0.000 0.000 0.000
Ga1 0.500 0.500 0.500
Bi1 0.000 0.500 0.500
Rh1 0.500 0.500 0.000

***

No. 8
# Li2Zn3 | Alexandria via LeMat-Bulk | GGA-PBE | optimized geometry
# * DOS(E_F): 1.2 states/eV/f.u.
# * uncorrected energy: -8.32 eV/f.u.
# * formation energy from the elements: -134.2 meV/atom
data_Li2Zn3
_symmetry_space_group_name_H-M 'F d d 2'
_symmetry_Int_Tables_number 43
_symmetry_space_group_name_Hall 'F 2 -2d'
_cell_length_a 9.249
_cell_length_b 13.225
_cell_length_c 4.812
_cell_angle_alpha 90.00
_cell_angle_beta 90.00
_cell_angle_gamma 90.00
loop_
_atom_site_label
_atom_site_fract_x
_atom_site_fract_y
_atom_site_fract_z
Li1 0.030 0.301 0.000
Zn1 0.000 0.000 0.444
Zn2 0.041 0.400 0.472